(1)
A relaxed structure of TlAs2Cl, computed with PBE.

Lattice parameters (Å, degrees): 3.8249 3.5868 8.8811 90.00 92.95 90.00
Last column: nearest neighbours and their distance in Å.
Sites, in units of the cell vectors:
Tl  0.0000  0.0000  0.0000  4 Cl 3.02
As  0.1839  0.0000  0.5018  2 As 2.41
As  0.3761  0.5000  0.6674  2 As 2.41
Cl  0.5201  0.5000  0.1698  4 Tl 3.02

Results
Energy above the most stable polymorph in this dataset (meV per atom): 124
Space group: Pm

=====

(2)
A relaxed structure of Co2AgAu, computed with PBE.

Lattice parameters (Å, degrees): 2.7382 2.7382 27.1070 90.00 90.00 120.00
Last column: nearest neighbours and their distance in Å.
Sites, in units of the cell vectors:
Co  0.0000  0.0000  0.2502  6 Co 2.74, 3 Au 2.75, 3 Ag 2.76
Co  0.0000  0.0000  0.7498  6 Co 2.74, 3 Au 2.75, 3 Ag 2.76
Co  0.3333  0.6667  0.4164  6 Co 2.74, 3 Au 2.75, 3 Ag 2.76
Co  0.3333  0.6667  0.9169  6 Co 2.74, 3 Au 2.75, 3 Ag 2.76
Co  0.6667  0.3333  0.0831  6 Co 2.74, 3 Au 2.75, 3 Ag 2.76
Co  0.6667  0.3333  0.5836  6 Co 2.74, 3 Au 2.75, 3 Ag 2.76
Ag  0.0000  0.0000  0.5000  6 Ag 2.74, 6 Co 2.76
Ag  0.3333  0.6667  0.1667  6 Ag 2.74, 6 Co 2.76
Ag  0.6667  0.3333  0.8333  6 Ag 2.74, 6 Co 2.76
Au  0.0000  0.0000  0.0000  6 Au 2.74, 6 Co 2.75
Au  0.3333  0.6667  0.6667  6 Au 2.74, 6 Co 2.75
Au  0.6667  0.3333  0.3333  6 Au 2.74, 6 Co 2.75

Results
Space group: R-3m
Energy relative to the elements (meV/atom): 407.5

=====

(3)
A relaxed structure of TbHoRhAu, computed with PBE.

Lattice parameters (Å, degrees): 3.5318 3.5318 6.9601 90.00 90.00 90.00
Last column: nearest neighbours and their distance in Å.
Sites, in units of the cell vectors:
Tb  0.0000  0.0000  0.0000  4 Rh 3.00, 4 Au 3.12, 1 Ho 3.30
Ho  0.0000  0.0000  0.5255  4 Rh 2.98, 4 Au 3.07, 1 Tb 3.30
Rh  0.5000  0.5000  0.7600  4 Ho 2.98, 4 Tb 3.00
Au  0.5000  0.5000  0.2677  4 Ho 3.07, 4 Tb 3.12, 1 Rh 3.43

Results
Energy above the most stable polymorph in this dataset (meV per atom): 0
Space group: P4mm
Energy relative to the elements (meV/atom): -856.0

=====

(4)
A relaxed structure of NpV2Ga, computed with PBE.

Lattice parameters (Å, degrees): 6.2992 6.2992 6.2992 90.00 90.00 90.00
Last column: nearest neighbours and their distance in Å.
Sites, in units of the cell vectors:
Np  0.0000  0.0000  0.0000  8 V 2.73
Np  0.0000  0.5000  0.5000  8 V 2.73
Np  0.5000  0.0000  0.5000  8 V 2.73
Np  0.5000  0.5000  0.0000  8 V 2.73
V  0.2500  0.2500  0.2500  4 Np 2.73, 4 Ga 2.73
V  0.2500  0.2500  0.7500  4 Np 2.73, 4 Ga 2.73
V  0.2500  0.7500  0.2500  4 Np 2.73, 4 Ga 2.73
V  0.2500  0.7500  0.7500  4 Np 2.73, 4 Ga 2.73
V  0.7500  0.2500  0.2500  4 Np 2.73, 4 Ga 2.73
V  0.7500  0.2500  0.7500  4 Np 2.73, 4 Ga 2.73
V  0.7500  0.7500  0.2500  4 Np 2.73, 4 Ga 2.73
V  0.7500  0.7500  0.7500  4 Np 2.73, 4 Ga 2.73
Ga  0.0000  0.0000  0.5000  8 V 2.73
Ga  0.0000  0.5000  0.0000  8 V 2.73
Ga  0.5000  0.0000  0.0000  8 V 2.73
Ga  0.5000  0.5000  0.5000  8 V 2.73

Results
Energy above the most stable polymorph in this dataset (meV per atom): 102
Space group: Fm-3m
Energy relative to the elements (meV/atom): 153.3